DFT (PBE with a Hubbard U) results for a geometry-optimized RbV2RuO8 structure.

- Total moment: 3.02 μB/cell
- Final energy: -0.2566 hartree per atom
- N(E_F): 0.79 states/eV/cell

POSCAR file:
```
RbV2RuO8
1.0
5.462 0.000 0.000
-2.731 4.730 0.000
0.000 0.000 8.044
Rb V Ru O
1 2 1 8
Direct
0.000 0.000 0.000
0.333 0.667 0.708
0.667 0.333 0.292
0.000 0.000 0.500
0.082 0.320 0.642
0.238 0.918 0.642
0.320 0.238 0.358
0.333 0.667 0.914
0.667 0.333 0.086
0.680 0.762 0.642
0.762 0.082 0.358
0.918 0.680 0.358
```